DFT (PBE-GGA) results for a relaxed structure of Ti2GaHOs.

Cell and atoms, written as CIF:
```
data_Ti2GaHOs
_symmetry_space_group_name_H-M 'P 1'
_symmetry_Int_Tables_number 1
_cell_length_a 4.0916
_cell_length_b 4.0916
_cell_length_c 3.7742
_cell_angle_alpha 90.00
_cell_angle_beta 90.00
_cell_angle_gamma 90.00
loop_
_symmetry_equiv_pos_as_xyz
'x,y,z'
loop_
_atom_site_label
_atom_site_type_symbol
_atom_site_fract_x
_atom_site_fract_y
_atom_site_fract_z
_atom_site_occupancy
Ti1 Ti 0.0000 0.5000 0.0000 1
Ti2 Ti 0.5000 0.0000 0.0000 1
Ga1 Ga 0.0000 0.0000 0.5000 1
H1 H 0.5000 0.5000 0.0000 1
Os1 Os 0.5000 0.5000 0.5000 1
```

Properties
Theoretical density in g/cm³: 9.374
Calculated total energy in eV per atom: -7.066
Space group: No. 123
N(E_F) in states/eV per cell: 4.0
Crystal system: tetragonal

=====

DFT (PBE-GGA) results for a relaxed structure of Dy2PaH.

Cell and atoms, written as CIF:
```
data_Dy2PaH
_symmetry_space_group_name_H-M 'P 1'
_symmetry_Int_Tables_number 1
_cell_length_a 3.2307
_cell_length_b 3.2307
_cell_length_c 8.3547
_cell_angle_alpha 90.00
_cell_angle_beta 90.00
_cell_angle_gamma 90.00
loop_
_symmetry_equiv_pos_as_xyz
'x,y,z'
loop_
_atom_site_label
_atom_site_type_symbol
_atom_site_fract_x
_atom_site_fract_y
_atom_site_fract_z
_atom_site_occupancy
Dy1 Dy 0.0000 0.0000 0.1956 1
Dy2 Dy 0.0000 0.0000 0.8044 1
Pa1 Pa 0.5000 0.5000 0.5000 1
H1 H 0.5000 0.5000 0.0000 1
```

Properties
Theoretical density in g/cm³: 10.607
E above lowest polymorph in eV per formula unit: 0.35
Space group: No. 123
N(E_F) in states/eV per cell: 6.3
Crystal system: tetragonal

=====

DFT (PBE-GGA) results for a relaxed structure of Pr7AlAg4.

Cell and atoms, written as CIF:
```
data_Pr7AlAg4
_symmetry_space_group_name_H-M 'P 1'
_symmetry_Int_Tables_number 1
_cell_length_a 8.0094
_cell_length_b 8.0094
_cell_length_c 9.3255
_cell_angle_alpha 117.23
_cell_angle_beta 117.23
_cell_angle_gamma 42.47
loop_
_symmetry_equiv_pos_as_xyz
'x,y,z'
loop_
_atom_site_label
_atom_site_type_symbol
_atom_site_fract_x
_atom_site_fract_y
_atom_site_fract_z
_atom_site_occupancy
Pr1 Pr 0.0000 0.0000 0.0000 1
Pr2 Pr 0.2196 0.2196 0.6809 1
Pr3 Pr 0.3242 0.3242 0.1092 1
Pr4 Pr 0.4261 0.4261 0.6060 1
Pr5 Pr 0.5739 0.5739 0.3940 1
Pr6 Pr 0.6758 0.6758 0.8908 1
Pr7 Pr 0.7804 0.7804 0.3191 1
Al1 Al 0.5000 0.5000 0.0000 1
Ag1 Ag 0.0187 0.0187 0.6768 1
Ag2 Ag 0.1913 0.1913 0.3342 1
Ag3 Ag 0.8087 0.8087 0.6658 1
Ag4 Ag 0.9813 0.9813 0.3232 1
```

Properties
Theoretical density in g/cm³: 6.817
ΔH_f (0 K) in eV per atom: -0.07
Space group: No. 12
N(E_F) in states/eV per cell: 13.6
Crystal system: monoclinic

=====

DFT (PBE-GGA) results for a relaxed structure of TbPm2Nd5Ho.

Cell and atoms, written as CIF:
```
data_TbPm2Nd5Ho
_symmetry_space_group_name_H-M 'P 1'
_symmetry_Int_Tables_number 1
_cell_length_a 10.2932
_cell_length_b 10.2932
_cell_length_c 10.2932
_cell_angle_alpha 130.02
_cell_angle_beta 130.02
_cell_angle_gamma 73.38
loop_
_symmetry_equiv_pos_as_xyz
'x,y,z'
loop_
_atom_site_label
_atom_site_type_symbol
_atom_site_fract_x
_atom_site_fract_y
_atom_site_fract_z
_atom_site_occupancy
Tb1 Tb 0.2500 0.2500 0.0000 1
Tb2 Tb 0.7500 0.7500 0.0000 1
Pm1 Pm 0.1201 0.6201 0.7402 1
Pm2 Pm 0.3799 0.1201 0.5000 1
Pm3 Pm 0.6201 0.8799 0.5000 1
Pm4 Pm 0.8799 0.3799 0.2598 1
Nd1 Nd 0.0000 0.0000 0.0000 1
Nd2 Nd 0.0722 0.1442 0.5000 1
Nd3 Nd 0.1442 0.6442 0.0721 1
Nd4 Nd 0.3558 0.4278 0.5000 1
Nd5 Nd 0.4278 0.9278 0.0721 1
Nd6 Nd 0.5000 0.5000 0.0000 1
Nd7 Nd 0.5722 0.0722 0.9279 1
Nd8 Nd 0.6442 0.5722 0.5000 1
Nd9 Nd 0.8558 0.3558 0.9279 1
Nd10 Nd 0.9278 0.8558 0.5000 1
Ho1 Ho 0.2500 0.7500 0.5000 1
Ho2 Ho 0.7500 0.2500 0.5000 1
```

Properties
Theoretical density in g/cm³: 7.102
ΔH_f (0 K) in eV per atom: 0.28
Space group: No. 140
N(E_F) in states/eV per cell: 28.6
Crystal system: tetragonal

=====

DFT (PBE-GGA) results for a relaxed structure of YCu2W.

Cell and atoms, written as CIF:
```
data_YCu2W
_symmetry_space_group_name_H-M 'P 1'
_symmetry_Int_Tables_number 1
_cell_length_a 2.9428
_cell_length_b 2.9428
_cell_length_c 7.6945
_cell_angle_alpha 90.00
_cell_angle_beta 90.00
_cell_angle_gamma 90.00
loop_
_symmetry_equiv_pos_as_xyz
'x,y,z'
loop_
_atom_site_label
_atom_site_type_symbol
_atom_site_fract_x
_atom_site_fract_y
_atom_site_fract_z
_atom_site_occupancy
Y1 Y 0.0000 0.0000 0.0000 1
Cu1 Cu 0.0000 0.0000 0.4683 1
Cu2 Cu 0.5000 0.5000 0.2856 1
W1 W 0.5000 0.5000 0.6893 1
```

Properties
Theoretical density in g/cm³: 9.964
ΔH_f (0 K) in eV per atom: 0.32
E above lowest polymorph in eV per formula unit: 0.08
Space group: No. 99
N(E_F) in states/eV per cell: 3.1
Crystal system: tetragonal

=====

DFT (PBE-GGA) results for a relaxed structure of NdTc4B4.

Cell and atoms, written as CIF:
```
data_NdTc4B4
_symmetry_space_group_name_H-M 'P 1'
_symmetry_Int_Tables_number 1
_cell_length_a 7.4584
_cell_length_b 7.4584
_cell_length_c 4.2263
_cell_angle_alpha 90.00
_cell_angle_beta 90.00
_cell_angle_gamma 90.00
loop_
_symmetry_equiv_pos_as_xyz
'x,y,z'
loop_
_atom_site_label
_atom_site_type_symbol
_atom_site_fract_x
_atom_site_fract_y
_atom_site_fract_z
_atom_site_occupancy
Nd1 Nd 0.2500 0.2500 0.2500 1
Nd2 Nd 0.7500 0.7500 0.7500 1
Tc1 Tc 0.1160 0.6280 0.1215 1
Tc2 Tc 0.1280 0.8840 0.6215 1
Tc3 Tc 0.3720 0.6160 0.6215 1
Tc4 Tc 0.3840 0.8720 0.1215 1
Tc5 Tc 0.6160 0.1280 0.8785 1
Tc6 Tc 0.6280 0.3840 0.3785 1
Tc7 Tc 0.8720 0.1160 0.3785 1
Tc8 Tc 0.8840 0.3720 0.8785 1
B1 B 0.0587 0.9223 0.1232 1
B2 B 0.0777 0.5587 0.6232 1
B3 B 0.4223 0.9413 0.6232 1
B4 B 0.4413 0.5777 0.1232 1
B5 B 0.5587 0.4223 0.8768 1
B6 B 0.5777 0.0587 0.3768 1
B7 B 0.9223 0.4413 0.3768 1
B8 B 0.9413 0.0777 0.8768 1
```

Properties
Theoretical density in g/cm³: 8.186
ΔH_f (0 K) in eV per atom: -0.39
Space group: No. 86
N(E_F) in states/eV per cell: 12.5
Crystal system: tetragonal